# PBE with a Hubbard U Li3Co2Si2O8, optimized geometry
data_Li3Co2Si2O8
_space_group_name_H-M_alt 'P 1 c 1'
_space_group_IT_number 7
_space_group_name_Hall 'P -2yc'
_cell_length_a 6.5733
_cell_length_b 5.0910
_cell_length_c 10.6585
_cell_angle_alpha 90.00
_cell_angle_beta 90.88
_cell_angle_gamma 90.00
loop_
_atom_site_label
_atom_site_fract_x
_atom_site_fract_y
_atom_site_fract_z
_atom_site_occupancy
Li1 0.0000 0.0570 0.0000 1
Li2 0.7721 0.4376 0.4041 1
Li3 0.7740 0.0643 0.2362 1
Co1 0.2804 0.4539 0.4242 1
Co2 0.2878 0.0631 0.2274 1
Si1 0.0230 0.4341 0.6682 1
Si2 0.5385 0.0562 0.9851 1
O1 0.0377 0.1097 0.6673 1
O2 0.0490 0.4649 0.0169 1
O3 0.2290 0.4501 0.2460 1
O4 0.3241 0.0732 0.4173 1
O5 0.5183 0.3766 0.9537 1
O6 0.5269 0.0011 0.6346 1
O7 0.7450 0.0501 0.4227 1
O8 0.8254 0.4436 0.2286 1
# * spin magnetization: 14.0 μB/cell
# * VASP energy: -194.03 eV/cell
# * calculated density: 3006 kg/m³
# * relative energy among the computed polymorphs: 37 meV per atom